Entry from Alexandria: a relaxed structure of Na3LaIr (PBEsol).

Cell: 5.267 5.267 5.267 Å, 90.00 90.00 90.00°
Fractional positions:
Na 0.000 0.500 0.000
Na 0.000 0.000 0.500
Na 0.500 0.000 0.000
Ir 0.000 0.000 0.000
La 0.500 0.500 0.500

## Properties
**ΔH_f (0 K)**: 0.895 eV per atom
**Density**: 4.55 g cm⁻³
**Density of states at the Fermi level**: 5.710 states/eV per cell
**VASP energy**: -2.9784 eV/atom



Entry from Alexandria: a relaxed structure of NaLa2IrO6 (PBEsol).

Cell: 5.542 5.962 7.980 Å, 90.00 90.61 90.00°
Fractional positions:
Na 0.500 0.500 0.500
Na 0.000 0.000 0.000
La 0.480 0.929 0.252
La 0.020 0.429 0.248
La 0.980 0.571 0.752
La 0.520 0.071 0.748
Ir 0.500 0.500 0.000
Ir 0.000 0.000 0.500
O 0.834 0.281 0.563
O 0.666 0.781 0.937
O 0.166 0.719 0.437
O 0.334 0.219 0.063
O 0.111 0.957 0.733
O 0.389 0.457 0.767
O 0.889 0.043 0.267
O 0.611 0.543 0.233
O 0.206 0.675 0.050
O 0.294 0.175 0.450
O 0.794 0.325 0.950
O 0.706 0.825 0.550

## Properties
**Density**: 7.42 g cm⁻³
**ΔE_f (raw)**: -2.2963 eV per atom
**Density of states at the Fermi level**: 9.960 states/eV per cell
**VASP energy**: -7.6374 eV/atom



Entry from Alexandria: a relaxed structure of LaNbIr3 (PBEsol).

Cell: 4.790 4.790 4.790 Å, 90.00 90.00 90.00°
Fractional positions:
Nb 0.500 0.500 0.500
Ir 0.000 0.500 0.000
Ir 0.000 0.000 0.500
Ir 0.500 0.000 0.000
La 0.000 0.000 0.000

## Properties
**ΔH_f (0 K)**: 2.149 eV per atom
**Density**: 12.21 g cm⁻³
**Density of states at the Fermi level**: 7.097 states/eV per cell
**VASP energy**: -6.9782 eV/atom



Entry from Alexandria: a relaxed structure of RbLaNbIr2 (PBEsol).

Cell: 4.775 4.910 4.910 Å, 90.00 90.00 90.00°
Fractional positions:
Nb 0.500 0.000 0.000
Ir 0.000 0.000 0.500
Ir 0.000 0.500 0.000
Rb 0.000 0.000 0.000
La 0.500 0.500 0.500

## Properties
**ΔH_f (0 K)**: 2.169 eV per atom
**Density**: 10.12 g cm⁻³
**Density of states at the Fermi level**: 5.315 states/eV per cell
**VASP energy**: -5.1988 eV/atom



Entry from Alexandria: a relaxed structure of La2NbReIr (PBEsol).

Cell: 4.720 5.376 5.376 Å, 90.00 90.00 90.00°
Fractional positions:
Re 0.000 0.000 0.000
Nb 0.500 0.500 0.500
Ir 0.500 0.000 0.000
La 0.000 0.000 0.500
La 0.000 0.500 0.000

## Properties
**ΔH_f (0 K)**: 1.036 eV per atom
**Density**: 9.12 g cm⁻³
**Density of states at the Fermi level**: 3.430 states/eV per cell
**VASP energy**: -7.8974 eV/atom



Entry from Alexandria: a relaxed structure of LaNbIrS2 (PBEsol).

Cell: 4.891 5.232 5.232 Å, 90.00 90.00 90.00°
Fractional positions:
Nb 0.500 0.500 0.500
Ir 0.500 0.000 0.000
S 0.000 0.000 0.500
S 0.000 0.500 0.000
La 0.000 0.000 0.000

## Properties
**Density**: 6.05 g cm⁻³
**ΔE_f (raw)**: 1.1048 eV per atom
**Density of states at the Fermi level**: 7.561 states/eV per cell
**VASP energy**: -5.8471 eV/atom



Entry from Alexandria: a relaxed structure of La2NiIr (PBEsol).

Cell: 3.542 4.947 4.947 Å, 89.96 89.95 89.95°
Fractional positions:
Ni 0.500 0.000 0.000
Ir 0.500 0.500 0.500
La 0.000 0.500 0.000
La 0.000 0.000 0.500

## Properties
**ΔH_f (0 K)**: -0.392 eV per atom
**Density**: 10.13 g cm⁻³
**Density of states at the Fermi level**: 2.094 states/eV per cell
**VASP energy**: -7.0609 eV/atom



Entry from Alexandria: a relaxed structure of LaNiIr2 (PBEsol).

Cell: 4.094 4.094 4.900 Å, 114.69 114.70 90.00°
Fractional positions:
Ir 0.000 0.000 0.000
Ir 0.250 0.750 0.500
La 0.500 0.500 0.000
Ni 0.750 0.250 0.500

## Properties
**ΔH_f (0 K)**: 0.070 eV per atom
**Excess energy over the best structure of this formula in the dataset**: 0.6 meV per atom
**Density**: 14.59 g cm⁻³
**Density of states at the Fermi level**: 5.450 states/eV per cell
**VASP energy**: -7.7182 eV/atom



Entry from Alexandria: a relaxed structure of LaNi3Ir (PBEsol).

Cell: 4.540 4.540 4.540 Å, 90.00 90.00 90.00°
Fractional positions:
Ni 0.000 0.500 0.000
Ni 0.000 0.000 0.500
Ni 0.500 0.000 0.000
Ir 0.000 0.000 0.000
La 0.500 0.500 0.500

## Properties
**ΔH_f (0 K)**: 0.377 eV per atom
**Density**: 9.00 g cm⁻³
**Density of states at the Fermi level**: 5.563 states/eV per cell
**VASP energy**: -6.3516 eV/atom



Entry from Alexandria: a relaxed structure of La2NiIr (PBEsol).

Cell: 3.940 4.191 5.771 Å, 90.00 109.96 90.00°
Fractional positions:
Ni 0.825 0.000 0.650
Ir 0.666 0.500 0.333
La 0.109 0.000 0.217
La 0.384 0.500 0.769

## Properties
**ΔH_f (0 K)**: -0.494 eV per atom
**Density**: 9.80 g cm⁻³
**Density of states at the Fermi level**: 2.273 states/eV per cell
**VASP energy**: -7.1628 eV/atom



Entry from Alexandria: a relaxed structure of LaNiIr (PBEsol).

Cell: 4.027 4.127 4.127 Å, 120.00 90.00 90.00°
Fractional positions:
Ni 0.500 0.333 0.667
Ir 0.500 0.000 0.000
La 0.000 0.667 0.333

## Properties
**ΔH_f (0 K)**: -0.448 eV per atom
**Density**: 10.90 g cm⁻³
**Density of states at the Fermi level**: 2.026 states/eV per cell
**VASP energy**: -7.5574 eV/atom



Entry from Alexandria: a relaxed structure of LaNiIr2 (PBEsol).

Cell: 2.968 4.662 4.752 Å, 90.00 90.00 90.00°
Fractional positions:
Ir 0.000 0.000 0.000
Ir 0.500 0.500 0.000
La 0.500 0.000 0.500
Ni 0.000 0.500 0.500

## Properties
**ΔH_f (0 K)**: 0.069 eV per atom
**Excess energy over the best structure of this formula in the dataset**: 0.0 meV per atom
**Density**: 14.70 g cm⁻³
**Density of states at the Fermi level**: 3.193 states/eV per cell
**VASP energy**: -7.7187 eV/atom